1.
Compound: Tb2Nd2Pd15
Source: the Alexandria database
Functional: PBE
Structure: relaxed

The space group is R-3m (No. 166, hexagonal axes) and the conventional cell measures 9.2675, 9.2675 and 14.1821 Å, with angles of 90.00, 90.00 and 120.00 degrees. The distinct sites, in fractional coordinates, are Tb at (0.0000, 0.0000, 0.1084), Nd at (0.0000, 0.0000, 0.3611), Pd at (0.0000, 0.3067, 0.0000), Pd at (0.0000, 0.5000, 0.5000) and Pd at (0.0062, 0.5031, 0.1534).

The calculation puts the density of states at the Fermi level at 49.53 states/eV per cell. The value obtained for the formation energy is -10.782 eV/f.u.

2.
Compound: CaBN2F
Source: the Alexandria database
Functional: PBE
Structure: relaxed

The space group is P4/mmm (No. 123) and the conventional cell measures 3.212, 3.212 and 4.675 Å, with angles of 90.00, 90.00 and 90.00 degrees. The distinct sites, in fractional coordinates, are Ca at (0.000, 0.000, 0.000), B at (0.500, 0.500, 0.500), N at (0.000, 0.500, 0.500) and F at (0.500, 0.500, 0.000).

The calculation puts the density of states at the Fermi level at 0.46 states/eV per cell. The value obtained for the uncorrected formation energy is -0.74 eV per atom.

3.
Compound: Zn2CdSe
Source: the Alexandria database
Functional: PBE
Structure: relaxed

The space group is Pmmm (No. 47) and the conventional cell measures 2.853, 3.641 and 7.647 Å, with angles of 90.00, 90.00 and 90.00 degrees. The distinct sites, in fractional coordinates, are Zn at (0.000, 0.000, 0.246), Cd at (0.500, 0.500, 0.000) and Se at (0.000, 0.500, 0.500).

The calculation puts the density of states at the Fermi level at 1.36 states/eV per cell. The value obtained for the uncorrected formation energy is -0.02 eV per atom.